No. 1
Tl2TcNi: relaxed, PBE.

abc: 4.681 4.681 5.620
angles: 78.44 78.44 37.87
Sites, in units of the cell vectors:
1 Ni 0.250 0.250 0.250
2 Tl 0.994 0.994 0.008
3 Tl 0.506 0.506 0.492
4 Tc 0.750 0.750 0.750

Crystal system: monoclinic
Raw total energy (eV/atom): -4.5162
Polymorph energy (0 for the lowest one) (meV per atom): 227
E_form (eV per atom): 0.704
Magnetization (μB per formula unit): 0.0

=====

No. 2
TlTc2Ni: relaxed, PBE.

abc: 7.421 7.421 5.804
angles: 50.26 50.26 90.00
Site moments in Bohr magnetons follow the coordinates.
Sites, in units of the cell vectors:
1 Tl 0.000 0.000 0.000  0.00
2 Tl 0.750 0.250 0.500  0.00
3 Ni 0.500 0.500 0.000  0.26
4 Ni 0.250 0.750 0.500  0.26
5 Tc 0.875 0.819 0.750  0.34
6 Tc 0.569 0.125 0.250  0.34
7 Tc 0.181 0.625 0.250  0.34
8 Tc 0.375 0.431 0.750  0.34

Crystal system: tetragonal
Raw total energy (eV/atom): -6.3250
Polymorph energy (0 for the lowest one) (meV per atom): 516
E_form (eV per atom): 0.895
Magnetization (μB per formula unit): 1.0

=====

No. 3
Tl2TcNi: relaxed, PBE.

abc: 3.065 3.065 8.715
angles: 90.00 90.00 114.37
Site moments in Bohr magnetons follow the coordinates.
Sites, in units of the cell vectors:
1 Tl 0.000 0.000 0.487  -0.01
2 Tl 0.000 0.000 0.013  -0.01
3 Ni 0.500 0.500 0.250  -0.03
4 Tc 0.500 0.500 0.750  0.82

Crystal system: orthorhombic
Raw total energy (eV/atom): -4.5255
Polymorph energy (0 for the lowest one) (meV per atom): 218
E_form (eV per atom): 0.694
Magnetization (μB per formula unit): 0.8